(1)
Computed, not measured: a relaxed structure of Sr4LaZn at the GGA-PBE level of DFT.

**Mass density**: 3.240 g cm⁻³
**Volume**: 284.4 Å³/cell
**Formation enthalpy at 0 K**: 0.50 eV per atom
**Total moment**: 1.78 Bohr magnetons per cell

a b c (Å): 7.3813 7.3813 7.3813
angles (deg): 60.00 60.00 60.00
With the nearest neighbours (Å) after each atom.
Sites, in units of the cell vectors:
Sr: 0.8773 0.3742 0.3742  6 Sr 3.67-3.71
Sr: 0.3742 0.3742 0.3742  6 Sr 3.67-3.71
Sr: 0.3742 0.8773 0.3742  6 Sr 3.67-3.71
Sr: 0.3742 0.3742 0.8773  6 Sr 3.67-3.71
Zn: 0.7500 0.7500 0.7500  12 Sr 4.33, 4 La 4.52
La: 0.0000 0.0000 0.0000  12 Sr 4.33, 4 Zn 4.52

***

(2)
Computed, not measured: a relaxed structure of Sr2LaZn3 at the GGA-PBE level of DFT.

**Mass density**: 4.931 g cm⁻³
**Volume**: 343.7 Å³/cell
**Formation enthalpy at 0 K**: -0.22 eV per atom
**Total moment**: 0.00 Bohr magnetons per cell

a b c (Å): 5.4520 8.6405 7.6896
angles (deg): 90.00 90.00 71.61
With the nearest neighbours (Å) after each atom.
Sites, in units of the cell vectors:
Zn: 0.5000 0.0000 0.7602  2 La 3.25, 6 Sr 3.29-3.39
Zn: 0.1727 0.6547 0.7728  3 La 3.21-3.24, 5 Sr 3.33-3.52, 1 Zn 3.49
Zn: 0.1727 0.6547 0.2272  3 La 3.21-3.24, 5 Sr 3.33-3.52, 1 Zn 3.49
Zn: 0.8273 0.3453 0.2272  3 La 3.21-3.24, 5 Sr 3.33-3.52, 1 Zn 3.49
Zn: 0.8273 0.3453 0.7728  3 La 3.21-3.24, 5 Sr 3.33-3.52, 1 Zn 3.49
Zn: 0.5000 0.0000 0.2398  2 La 3.25, 6 Sr 3.29-3.39
La: 0.3368 0.3264 0.0000  8 Zn 3.21-3.25
La: 0.6632 0.6736 0.0000  8 Zn 3.21-3.25
Sr: 0.0000 0.0000 0.5000  8 Zn 3.38-3.52
Sr: 0.0000 0.0000 0.0000  8 Zn 3.29-3.33
Sr: 0.3329 0.3343 0.5000  8 Zn 3.36-3.44
Sr: 0.6671 0.6657 0.5000  8 Zn 3.36-3.44

***

(3)
Computed, not measured: a relaxed structure of Sr2LaZr at the GGA-PBE level of DFT.

**Mass density**: 4.444 g cm⁻³
**Volume**: 151.5 Å³/cell
**E above lowest polymorph**: 151 meV per atom
**Formation enthalpy at 0 K**: 0.44 eV per atom
**Total moment**: 0.79 Bohr magnetons per cell

a b c (Å): 7.4800 7.4800 7.4800
angles (deg): 150.26 132.72 56.85
With the nearest neighbours (Å) after each atom.
Sites, in units of the cell vectors:
La: 0.2500 0.7500 0.5000  4 Zr 3.56, 2 La 3.84
Sr: 0.5283 0.5283 0.0000  2 Zr 3.49, 6 Sr 3.64-3.84
Sr: 0.9717 0.9717 0.0000  2 Zr 3.49, 6 Sr 3.64-3.84
Zr: 0.7500 0.2500 0.5000  4 Sr 3.49, 4 La 3.56, 2 Zr 3.84

***

(4)
Computed, not measured: a relaxed structure of SrLa2Zr at the GGA-PBE level of DFT.

**Mass density**: 5.475 g cm⁻³
**Volume**: 138.5 Å³/cell
**E above lowest polymorph**: 182 meV per atom
**Formation enthalpy at 0 K**: 0.35 eV per atom
**Total moment**: 1.71 Bohr magnetons per cell

a b c (Å): 5.8076 5.8076 5.8076
angles (deg): 60.00 60.00 60.00
With the nearest neighbours (Å) after each atom.
Sites, in units of the cell vectors:
La: 0.2500 0.2500 0.2500  4 Zr 3.56, 4 Sr 3.56
La: 0.7500 0.7500 0.7500  4 Zr 3.56, 4 Sr 3.56
Sr: 0.0000 0.0000 0.0000  8 La 3.56
Zr: 0.5000 0.5000 0.5000  8 La 3.56

***

(5)
Computed, not measured: a relaxed structure of Sr2LaZr at the GGA-PBE level of DFT.

**Mass density**: 4.202 g cm⁻³
**Volume**: 160.2 Å³/cell
**E above lowest polymorph**: 0 meV per atom
**Formation enthalpy at 0 K**: 0.29 eV per atom
**Total moment**: 1.04 Bohr magnetons per cell

a b c (Å): 4.0991 4.0991 9.5348
angles (deg): 90.00 90.00 90.00
With the nearest neighbours (Å) after each atom.
Sites, in units of the cell vectors:
Sr: 0.0000 0.0000 0.9669  4 La 3.94, 1 Zr 4.02, 8 Sr 4.10-4.31
Sr: 0.5000 0.5000 0.3010  1 La 3.68, 4 Zr 3.72, 4 Sr 4.10
Zr: 0.0000 0.0000 0.5449  4 La 3.20
La: 0.5000 0.5000 0.6872  4 Zr 3.20

***

(6)
Computed, not measured: a relaxed structure of SrLa2Zr at the GGA-PBE level of DFT.

**Mass density**: 5.529 g cm⁻³
**Volume**: 137.2 Å³/cell
**E above lowest polymorph**: 174 meV per atom
**Formation enthalpy at 0 K**: 0.34 eV per atom
**Total moment**: 0.00 Bohr magnetons per cell

a b c (Å): 6.2816 6.2816 3.6420
angles (deg): 90.00 90.00 107.38
With the nearest neighbours (Å) after each atom.
Sites, in units of the cell vectors:
Zr: 0.0000 0.5000 0.5000  8 La 3.63, 2 Zr 3.64, 2 Sr 3.72
La: 0.0000 0.0000 0.0000  4 Sr 3.63, 4 Zr 3.63, 4 La 3.64-3.72
La: 0.5000 0.5000 0.0000  4 Zr 3.63, 4 Sr 3.63, 4 La 3.64-3.72
Sr: 0.5000 0.0000 0.5000  8 La 3.63, 2 Sr 3.64, 2 Zr 3.72

***

(7)
Computed, not measured: a relaxed structure of SrLa2Zr at the GGA-PBE level of DFT.

**Mass density**: 5.223 g cm⁻³
**Volume**: 290.4 Å³/cell
**E above lowest polymorph**: 429 meV per atom
**Formation enthalpy at 0 K**: 0.60 eV per atom
**Total moment**: 3.73 Bohr magnetons per cell

a b c (Å): 9.0944 9.0944 7.3267
angles (deg): 51.64 51.64 90.00
With the nearest neighbours (Å) after each atom.
Sites, in units of the cell vectors:
Zr: 0.7500 0.2500 0.5000  4 La 3.11
Zr: 0.0000 0.0000 0.0000  4 La 3.11
La: 0.6630 0.1250 0.2500  2 Zr 3.11
La: 0.0870 0.6250 0.2500  2 Zr 3.11
La: 0.8750 0.9130 0.7500  2 Zr 3.11
La: 0.3750 0.3370 0.7500  2 Zr 3.11
Sr: 0.2500 0.7500 0.5000  2 Zr 3.51, 4 La 3.58
Sr: 0.5000 0.5000 0.0000  2 Zr 3.51, 4 La 3.58

***

(8)
Computed, not measured: a relaxed structure of SrLaZr3 at the GGA-PBE level of DFT.

**Mass density**: 5.423 g cm⁻³
**Volume**: 153.2 Å³/cell
**E above lowest polymorph**: 0 meV per atom
**Formation enthalpy at 0 K**: 0.96 eV per atom
**Total moment**: 0.00 Bohr magnetons per cell

a b c (Å): 5.3503 5.3503 5.3503
angles (deg): 90.00 90.00 90.00
With the nearest neighbours (Å) after each atom.
Sites, in units of the cell vectors:
Zr: 0.0000 0.0000 0.5000  2 La 2.68
Zr: 0.0000 0.5000 0.0000  2 La 2.68
Zr: 0.5000 0.0000 0.0000  2 La 2.68
Sr: 0.5000 0.5000 0.5000  12 Zr 3.78
La: 0.0000 0.0000 0.0000  6 Zr 2.68

***

(9)
Computed, not measured: a relaxed structure of SrLa2Zr at the GGA-PBE level of DFT.

**Mass density**: 5.396 g cm⁻³
**Volume**: 140.5 Å³/cell
**E above lowest polymorph**: 52 meV per atom
**Formation enthalpy at 0 K**: 0.22 eV per atom
**Total moment**: 0.00 Bohr magnetons per cell

a b c (Å): 12.3587 12.3587 12.3587
angles (deg): 16.98 16.98 16.98
With the nearest neighbours (Å) after each atom.
Sites, in units of the cell vectors:
Sr: 0.2500 0.2500 0.2500  6 Sr 3.65, 6 La 4.04
La: 0.4890 0.4890 0.4890  3 Zr 3.38, 6 La 3.65
La: 0.0111 0.0111 0.0111  3 Zr 3.38, 6 La 3.65
Zr: 0.7500 0.7500 0.7500  6 La 3.38, 6 Zr 3.65

***

(10)
Computed, not measured: a relaxed structure of Sr2LaZr at the GGA-PBE level of DFT.

**Mass density**: 4.361 g cm⁻³
**Volume**: 308.7 Å³/cell
**E above lowest polymorph**: 462 meV per atom
**Formation enthalpy at 0 K**: 0.75 eV per atom
**Total moment**: 4.88 Bohr magnetons per cell

a b c (Å): 9.5215 9.5215 7.5449
angles (deg): 50.88 50.88 90.00
With the nearest neighbours (Å) after each atom.
Sites, in units of the cell vectors:
Sr: 0.8750 0.8580 0.7500  2 Zr 3.36, 2 Sr 3.42, 2 La 3.59
Sr: 0.3750 0.3920 0.7500  2 Zr 3.36, 2 Sr 3.42, 2 La 3.59
Sr: 0.1420 0.6250 0.2500  2 Zr 3.36, 2 Sr 3.42, 2 La 3.59
Sr: 0.6080 0.1250 0.2500  2 Zr 3.36, 2 Sr 3.42, 2 La 3.59
Zr: 0.2500 0.7500 0.5000  4 Sr 3.36, 2 La 3.41
Zr: 0.5000 0.5000 0.0000  4 Sr 3.36, 2 La 3.41
La: 0.7500 0.2500 0.5000  2 Zr 3.41, 4 Sr 3.59
La: 0.0000 0.0000 0.0000  2 Zr 3.41, 4 Sr 3.59

***

(11)
Computed, not measured: a relaxed structure of Sr2LaZr at the GGA-PBE level of DFT.

**Mass density**: 4.511 g cm⁻³
**Volume**: 149.2 Å³/cell
**E above lowest polymorph**: 164 meV per atom
**Formation enthalpy at 0 K**: 0.45 eV per atom
**Total moment**: 0.01 Bohr magnetons per cell

a b c (Å): 3.6012 3.6012 11.5073
angles (deg): 90.00 90.00 90.00
With the nearest neighbours (Å) after each atom.
Sites, in units of the cell vectors:
La: 0.5000 0.5000 0.7500  4 La 3.60
Zr: 0.5000 0.5000 0.2500  4 Zr 3.60, 8 Sr 3.63
Sr: 0.0000 0.0000 0.4752  4 Sr 3.60, 4 Zr 3.63
Sr: 0.0000 0.0000 0.0248  4 Sr 3.60, 4 Zr 3.63

***

(12)
Computed, not measured: a relaxed structure of SrLa2Zr at the GGA-PBE level of DFT.

**Mass density**: 5.201 g cm⁻³
**Volume**: 145.8 Å³/cell
**E above lowest polymorph**: 158 meV per atom
**Formation enthalpy at 0 K**: 0.33 eV per atom
**Total moment**: 0.50 Bohr magnetons per cell

a b c (Å): 4.0901 4.0901 8.7156
angles (deg): 90.00 90.00 90.00
With the nearest neighbours (Å) after each atom.
Sites, in units of the cell vectors:
La: 0.5000 0.5000 0.2039  1 Zr 3.49, 4 La 3.62
La: 0.0000 0.0000 0.9543  4 Zr 3.18
Sr: 0.0000 0.0000 0.5382  1 La 3.63, 4 Zr 3.70
Zr: 0.5000 0.5000 0.8036  5 La 3.18-3.49